[1]
A relaxed MgCr4As crystal, computed with PBE. Values from VASP.

Quantum ESPRESSO input file:
```
&SYSTEM
  ibrav = 0, nat = 6, ntyp = 3
/
ATOMIC_SPECIES
Mg 24.30 Mg.upf
Cr 52.00 Cr.upf
As 74.92 As.upf
CELL_PARAMETERS angstrom
0.0000 3.4361 3.4361
3.4361 0.0000 3.4361
3.4361 3.4361 0.0000
ATOMIC_POSITIONS crystal
Mg 0.7500 0.7500 0.7500
Cr 0.8738 0.3754 0.3754
Cr 0.3754 0.3754 0.8738
Cr 0.3754 0.8738 0.3754
Cr 0.3754 0.3754 0.3754
As 0.0000 0.0000 0.0000
```

Summary:
- Volume: 13.524 A^3/atom
- Formation energy from the elements: 0.383 eV per atom
- Space-group type: No. 216

[2]
A relaxed Na8AgPb2 crystal, computed with PBE. Values from VASP.

Quantum ESPRESSO input file:
```
&SYSTEM
  ibrav = 0, nat = 11, ntyp = 3
/
ATOMIC_SPECIES
Na 22.99 Na.upf
Ag 107.87 Ag.upf
Pb 207.20 Pb.upf
CELL_PARAMETERS angstrom
-5.3187 1.4678 -0.2876
-1.5478 -4.5253 5.5284
4.8194 7.5977 2.7171
ATOMIC_POSITIONS crystal
Na 0.6443 0.8794 0.2886
Na 0.3550 0.5909 0.7100
Na 0.1837 0.1825 0.3674
Na 0.0003 0.2717 0.0005
Na 0.8163 0.8175 0.6326
Na 0.6450 0.4091 0.2900
Na 0.3557 0.1206 0.7114
Na 0.9997 0.7283 0.9995
Ag 0.5000 0.0000 0.0000
Pb 0.1841 0.6844 0.3682
Pb 0.8159 0.3156 0.6318
```

Summary:
- Excess energy over the best structure of this formula in the dataset: 0.0 meV/atom
- Volume: 30.108 A^3/atom
- Formation energy from the elements: -0.083 eV per atom
- Space-group type: No. 12

[3]
A relaxed AgRh2Cl crystal, computed with PBE. Values from VASP.

Quantum ESPRESSO input file:
```
&SYSTEM
  ibrav = 0, nat = 4, ntyp = 3
/
ATOMIC_SPECIES
Ag 107.87 Ag.upf
Cl 35.45 Cl.upf
Rh 102.91 Rh.upf
CELL_PARAMETERS angstrom
5.2254 0.1287 0.0000
2.2211 4.7316 0.0000
-3.7233 -2.4302 2.7483
ATOMIC_POSITIONS crystal
Ag 0.2500 0.7500 0.5000
Cl 0.7500 0.2500 0.5000
Rh 0.0000 0.0000 0.0000
Rh 0.5000 0.5000 0.0000
```

Summary:
- Formation energy (no corrections): 0.71 eV/atom
- Excess energy over the best structure of this formula in the dataset: 532.8 meV/atom
- Volume: 16.791 A^3/atom
- Space-group type: No. 139

[4]
A relaxed Tb3Pm6ErTh2 crystal, computed with PBE. Values from VASP.

Quantum ESPRESSO input file:
```
&SYSTEM
  ibrav = 0, nat = 12, ntyp = 4
/
ATOMIC_SPECIES
Tb 158.93 Tb.upf
Pm 145.00 Pm.upf
Er 167.26 Er.upf
Th 232.04 Th.upf
CELL_PARAMETERS angstrom
6.2353 0.0021 -0.0024
-3.1143 5.4018 -0.0024
-1.0403 -1.8012 11.8094
ATOMIC_POSITIONS crystal
Tb 0.1667 0.8333 0.5000
Tb 0.8333 0.1667 0.5000
Tb 0.5000 0.5000 0.5000
Pm 0.9175 0.5818 0.7528
Pm 0.7466 0.7466 0.2478
Pm 0.0825 0.4182 0.2472
Pm 0.5818 0.9175 0.7528
Pm 0.2534 0.2534 0.7522
Pm 0.4182 0.0825 0.2472
Er 0.0000 0.0000 0.0000
Th 0.3336 0.6664 0.0000
Th 0.6664 0.3336 0.0000
```

Summary:
- Volume: 33.149 A^3/atom
- Formation energy from the elements: 0.034 eV per atom
- Space-group type: No. 12

[5]
A relaxed SrLi2CaAg crystal, computed with PBE. Values from VASP.

Quantum ESPRESSO input file:
```
&SYSTEM
  ibrav = 0, nat = 5, ntyp = 4
/
ATOMIC_SPECIES
Sr 87.62 Sr.upf
Li 6.94 Li.upf
Ca 40.08 Ca.upf
Ag 107.87 Ag.upf
CELL_PARAMETERS angstrom
4.1794 0.0000 0.0000
0.0000 5.0408 0.0000
-2.0897 -2.5204 7.1139
ATOMIC_POSITIONS crystal
Sr 0.4224 0.4224 0.8448
Li 0.7160 0.2160 0.4320
Li 0.0387 0.0387 0.0775
Ca 0.1887 0.6887 0.3774
Ag 0.8463 0.8463 0.6925
```

Summary:
- Excess energy over the best structure of this formula in the dataset: 0.0 meV/atom
- Volume: 29.974 A^3/atom
- Formation energy from the elements: -0.096 eV per atom
- Space-group type: No. 44

[6]
A relaxed Fe2NiCl crystal, computed with PBE. Values from VASP.

Quantum ESPRESSO input file:
```
&SYSTEM
  ibrav = 0, nat = 4, ntyp = 3
/
ATOMIC_SPECIES
Ni 58.69 Ni.upf
Fe 55.84 Fe.upf
Cl 35.45 Cl.upf
CELL_PARAMETERS angstrom
7.9064 -0.0110 -0.0065
7.4113 2.7540 -0.0065
7.4113 1.3272 2.4132
ATOMIC_POSITIONS crystal
Ni 0.2500 0.2500 0.2500
Fe 0.9995 0.9995 0.9995
Fe 0.5005 0.5005 0.5005
Cl 0.7500 0.7500 0.7500
```

Summary:
- Formation energy (no corrections): 0.30 eV/atom
- Excess energy over the best structure of this formula in the dataset: 172.6 meV/atom
- Volume: 13.220 A^3/atom
- Space-group type: No. 166

[7]
A relaxed Ca2TeWS crystal, computed with PBE. Values from VASP.

Quantum ESPRESSO input file:
```
&SYSTEM
  ibrav = 0, nat = 5, ntyp = 4
/
ATOMIC_SPECIES
Ca 40.08 Ca.upf
Te 127.60 Te.upf
S 32.06 S.upf
W 183.84 W.upf
CELL_PARAMETERS angstrom
5.4118 0.0000 0.0000
0.0000 5.4118 0.0000
0.0000 0.0000 4.4463
ATOMIC_POSITIONS crystal
Ca 0.0000 0.5000 0.0000
Ca 0.5000 0.0000 0.0000
Te 0.5000 0.5000 0.5000
S 0.0000 0.0000 0.0000
W 0.0000 0.0000 0.5000
```

Summary:
- Formation energy (no corrections): -0.35 eV/atom
- Volume: 26.044 A^3/atom
- Space-group type: No. 123

[8]
A relaxed CuSbBr4 crystal, computed with PBE. Values from VASP.

Quantum ESPRESSO input file:
```
&SYSTEM
  ibrav = 0, nat = 12, ntyp = 3
/
ATOMIC_SPECIES
Cu 63.55 Cu.upf
Sb 121.76 Sb.upf
Br 79.90 Br.upf
CELL_PARAMETERS angstrom
-5.2252 2.0752 1.6613
0.5397 -0.1227 -8.4934
-2.6819 -9.7222 3.7094
ATOMIC_POSITIONS crystal
Cu 0.0843 0.1686 0.5588
Cu 0.9157 0.8314 0.4412
Sb 0.2107 0.4214 0.3096
Sb 0.7893 0.5786 0.6904
Br 0.0172 0.0344 0.3147
Br 0.1635 0.3270 0.0589
Br 0.7474 0.4947 0.3445
Br 0.6141 0.2282 0.6223
Br 0.3859 0.7718 0.3777
Br 0.2526 0.5053 0.6555
Br 0.8365 0.6730 0.9411
Br 0.9828 0.9656 0.6853
```

Summary:
- Formation energy (no corrections): -0.42 eV/atom
- Excess energy over the best structure of this formula in the dataset: 27.6 meV/atom
- Volume: 38.975 A^3/atom
- Space-group type: No. 12

[9]
A relaxed NdGePd2 crystal, computed with PBE. Values from VASP.

Quantum ESPRESSO input file:
```
&SYSTEM
  ibrav = 0, nat = 4, ntyp = 3
/
ATOMIC_SPECIES
Nd 144.24 Nd.upf
Ge 72.64 Ge.upf
Pd 106.42 Pd.upf
CELL_PARAMETERS angstrom
-2.9631 0.4367 -2.9543
1.8309 -2.3941 -2.1902
-2.8250 -4.1828 2.2152
ATOMIC_POSITIONS crystal
Nd 0.5000 0.5000 0.0000
Ge 0.5000 0.0000 0.5000
Pd 0.0000 0.0004 0.2490
Pd 0.0000 0.9996 0.7510
```

Summary:
- Volume: 21.599 A^3/atom
- Formation energy from the elements: -0.638 eV per atom
- Space-group type: No. 47

[10]
A relaxed TiZnGa2 crystal, computed with PBE. Values from VASP.

Quantum ESPRESSO input file:
```
&SYSTEM
  ibrav = 0, nat = 8, ntyp = 3
/
ATOMIC_SPECIES
Zn 65.41 Zn.upf
Ga 69.72 Ga.upf
Ti 47.87 Ti.upf
CELL_PARAMETERS angstrom
3.7463 -0.0025 0.0000
-1.8733 5.3340 0.0000
0.0000 0.0000 6.4536
ATOMIC_POSITIONS crystal
Zn 0.7661 0.5340 0.7500
Zn 0.2339 0.4660 0.2500
Ga 0.3863 0.7735 0.9471
Ga 0.3863 0.7735 0.5529
Ga 0.6137 0.2265 0.0529
Ga 0.6137 0.2265 0.4471
Ti 0.0538 0.1067 0.7500
Ti 0.9462 0.8933 0.2500
```

Summary:
- Volume: 16.116 A^3/atom
- Formation energy from the elements: -0.192 eV per atom
- Space-group type: No. 11

[11]
A relaxed TlCdNi2 crystal, computed with PBE. Values from VASP.

Quantum ESPRESSO input file:
```
&SYSTEM
  ibrav = 0, nat = 4, ntyp = 3
/
ATOMIC_SPECIES
Cd 112.41 Cd.upf
Ni 58.69 Ni.upf
Tl 204.38 Tl.upf
CELL_PARAMETERS angstrom
8.3443 -0.0024 -0.0014
7.7666 3.0509 -0.0014
7.7666 1.4696 2.6737
ATOMIC_POSITIONS crystal
Cd 0.7500 0.7500 0.7500
Ni 0.9999 0.9999 0.9999
Ni 0.5001 0.5001 0.5001
Tl 0.2500 0.2500 0.2500
```

Summary:
- Volume: 17.038 A^3/atom
- Formation energy from the elements: 0.329 eV per atom
- Space-group type: No. 166

[12]
A relaxed ZrBe17V crystal, computed with PBE. Values from VASP.

Quantum ESPRESSO input file:
```
&SYSTEM
  ibrav = 0, nat = 19, ntyp = 3
/
ATOMIC_SPECIES
Zr 91.22 Zr.upf
Be 9.01 Be.upf
V 50.94 V.upf
CELL_PARAMETERS angstrom
-4.5737 -1.5689 -2.7752
0.2235 -5.4143 1.3105
-3.5233 0.1909 4.3165
ATOMIC_POSITIONS crystal
Zr 0.6618 0.6618 0.6618
Be 0.2913 0.0043 0.7042
Be 0.7042 0.2913 0.0043
Be 0.0043 0.7042 0.2913
Be 0.2913 0.7042 0.0043
Be 0.0043 0.2913 0.7042
Be 0.7042 0.0043 0.2913
Be 0.3433 0.8453 0.3433
Be 0.3433 0.3433 0.8453
Be 0.8453 0.3433 0.3433
Be 0.6510 0.1640 0.6510
Be 0.6510 0.6510 0.1640
Be 0.1640 0.6510 0.6510
Be 0.9992 0.5003 0.9992
Be 0.9992 0.9992 0.5003
Be 0.5003 0.9992 0.9992
Be 0.9054 0.9054 0.9054
Be 0.1013 0.1013 0.1013
V 0.3354 0.3354 0.3354
```

Summary:
- Volume: 8.927 A^3/atom
- Formation energy from the elements: -0.176 eV per atom
- Space-group type: No. 160

[13]
A relaxed KMgRe crystal, computed with PBE. Values from VASP.

Quantum ESPRESSO input file:
```
&SYSTEM
  ibrav = 0, nat = 3, ntyp = 3
/
ATOMIC_SPECIES
K 39.10 K.upf
Mg 24.30 Mg.upf
Re 186.21 Re.upf
CELL_PARAMETERS angstrom
-1.6736 -0.5548 -4.9877
4.8466 -1.6267 1.3602
-0.9714 -2.3986 0.5927
ATOMIC_POSITIONS crystal
K 0.0000 0.0000 0.1142
Mg 0.3333 0.6667 0.2179
Re 0.6667 0.3333 0.6678
```

Summary:
- Excess energy over the best structure of this formula in the dataset: 348.3 meV/atom
- Volume: 21.448 A^3/atom
- Formation energy from the elements: 1.228 eV per atom
- Space-group type: No. 156